Entry 1:
Computed, not measured: an optimized crystal structure of Zr3BS at the GGA-PBEsol level of DFT.

Unit cell a=4.532 b=4.532 c=4.532 alpha=90.00 beta=90.00 gamma=90.00
Atoms (fractional coordinates):
1 Zr 0.000 0.000 0.500
2 Zr 0.000 0.500 0.000
3 Zr 0.500 0.000 0.000
4 B 0.000 0.000 0.000
5 S 0.500 0.500 0.500

The theoretical density comes out at 5.6 g cm⁻³. As for the formation energy without anion corrections: -0.148 eV/atom. For the total energy, the calculation gives -7.882 eV per atom. The space group is Pm-3m.



Entry 2:
Computed, not measured: an optimized crystal structure of GdBi2IO4 at the GGA-PBEsol level of DFT.

Unit cell a=3.919 b=3.919 c=9.499 alpha=90.00 beta=90.00 gamma=90.00
Atoms (fractional coordinates):
1 Gd 0.000 0.000 0.000
2 Bi 0.500 0.500 0.262
3 Bi 0.500 0.500 0.738
4 I 0.000 0.000 0.500
5 O 0.000 0.500 0.146
6 O 0.000 0.500 0.854
7 O 0.500 0.000 0.146
8 O 0.500 0.000 0.854

The theoretical density comes out at 8.7 g cm⁻³. As for the formation energy without anion corrections: -1.940 eV/atom. For the total energy, the calculation gives -7.663 eV per atom. The space group is P4/mmm.



Entry 3:
Computed, not measured: an optimized crystal structure of Co2WSe at the GGA-PBEsol level of DFT.

Unit cell a=4.398 b=4.398 c=4.418 alpha=94.44 beta=94.44 gamma=37.58
Atoms (fractional coordinates):
1 Co 0.000 0.000 0.000
2 Co 0.735 0.735 0.259
3 W 0.269 0.269 0.789
4 Se 0.485 0.485 0.420

The theoretical density comes out at 12.2 g cm⁻³. As for the formation energy without anion corrections: 0.250 eV/atom. For the total energy, the calculation gives -8.033 eV per atom. The space group is Cm.



Entry 4:
Computed, not measured: an optimized crystal structure of ZnCd2Hg2 at the GGA-PBEsol level of DFT.

Unit cell a=7.620 b=7.620 c=7.620 alpha=149.43 beta=149.43 gamma=43.77
Atoms (fractional coordinates):
1 Zn 0.000 0.000 0.000
2 Cd 0.250 0.750 0.500
3 Cd 0.750 0.250 0.500
4 Hg 0.404 0.404 0.000
5 Hg 0.596 0.596 0.000

The theoretical density comes out at 10.1 g cm⁻³. For the total energy, the calculation gives -0.829 eV per atom. The calculated formation energy is 0.193 eV/atom. The space group is I4/mmm.



Entry 5:
Computed, not measured: an optimized crystal structure of Nd2Ni12As7 at the GGA-PBEsol level of DFT.

Unit cell a=9.265 b=9.265 c=3.841 alpha=90.00 beta=90.00 gamma=120.00
Atoms (fractional coordinates):
1 Nd 0.000 0.000 0.000
2 Nd 0.333 0.667 0.500
3 Ni 0.041 0.285 0.500
4 Ni 0.105 0.715 0.000
5 Ni 0.244 0.959 0.500
6 Ni 0.285 0.390 0.000
7 Ni 0.388 0.186 0.000
8 Ni 0.557 0.430 0.500
9 Ni 0.570 0.127 0.500
10 Ni 0.610 0.895 0.000
11 Ni 0.715 0.756 0.500
12 Ni 0.798 0.612 0.000
13 Ni 0.814 0.202 0.000
14 Ni 0.873 0.443 0.500
15 As 0.065 0.445 0.000
16 As 0.265 0.231 0.500
17 As 0.380 0.935 0.000
18 As 0.555 0.620 0.000
19 As 0.667 0.333 0.000
20 As 0.769 0.034 0.500
21 As 0.966 0.735 0.500

The theoretical density comes out at 8.8 g cm⁻³. For the total energy, the calculation gives -6.292 eV per atom. The calculated formation energy is -0.580 eV/atom. The space group is P-6.



Entry 6:
Computed, not measured: an optimized crystal structure of LiMg30AlO32 at the GGA-PBEsol level of DFT.

Unit cell a=8.395 b=8.395 c=8.410 alpha=90.00 beta=90.00 gamma=90.00
Atoms (fractional coordinates):
1 Li 0.000 0.000 0.000
2 Mg 0.000 0.248 0.246
3 Mg 0.000 0.248 0.754
4 Mg 0.000 0.500 0.000
5 Mg 0.000 0.500 0.500
6 Mg 0.000 0.752 0.246
7 Mg 0.000 0.752 0.754
8 Mg 0.247 0.247 0.000
9 Mg 0.247 0.753 0.000
10 Mg 0.248 0.000 0.246
11 Mg 0.248 0.000 0.754
12 Mg 0.250 0.250 0.500
13 Mg 0.250 0.500 0.249
14 Mg 0.250 0.500 0.751
15 Mg 0.250 0.750 0.500
16 Mg 0.500 0.000 0.000
17 Mg 0.500 0.000 0.500
18 Mg 0.500 0.250 0.249
19 Mg 0.500 0.250 0.751
20 Mg 0.500 0.500 0.000
21 Mg 0.500 0.500 0.500
22 Mg 0.500 0.750 0.249
23 Mg 0.500 0.750 0.751
24 Mg 0.750 0.250 0.500
25 Mg 0.750 0.500 0.249
26 Mg 0.750 0.500 0.751
27 Mg 0.750 0.750 0.500
28 Mg 0.752 0.000 0.246
29 Mg 0.752 0.000 0.754
30 Mg 0.753 0.247 0.000
31 Mg 0.753 0.753 0.000
32 Al 0.000 0.000 0.500
33 O 0.000 0.000 0.273
34 O 0.000 0.000 0.727
35 O 0.000 0.237 0.500
36 O 0.000 0.253 0.000
37 O 0.000 0.500 0.253
38 O 0.000 0.500 0.747
39 O 0.000 0.747 0.000
40 O 0.000 0.763 0.500
41 O 0.237 0.000 0.500
42 O 0.248 0.500 0.500
43 O 0.250 0.250 0.251
44 O 0.250 0.250 0.749
45 O 0.250 0.500 0.000
46 O 0.250 0.750 0.251
47 O 0.250 0.750 0.749
48 O 0.253 0.000 0.000
49 O 0.500 0.000 0.253
50 O 0.500 0.000 0.747
51 O 0.500 0.248 0.500
52 O 0.500 0.250 0.000
53 O 0.500 0.500 0.251
54 O 0.500 0.500 0.749
55 O 0.500 0.750 0.000
56 O 0.500 0.752 0.500
57 O 0.747 0.000 0.000
58 O 0.750 0.250 0.251
59 O 0.750 0.250 0.749
60 O 0.750 0.500 0.000
61 O 0.750 0.750 0.251
62 O 0.750 0.750 0.749
63 O 0.752 0.500 0.500
64 O 0.763 0.000 0.500

The theoretical density comes out at 3.6 g cm⁻³. As for the formation energy without anion corrections: -2.741 eV/atom. For the total energy, the calculation gives -6.265 eV per atom. The space group is P4/mmm.